Entry 1:
VASP calculation (PBE) on a geometry-optimized CuAg structure.

Computed properties:
Volume ... 150 Å³ per cell
Calculated density ... 9.5 g/cm3
Energy ... -3.1948 eV per atom

Cell lengths 4.848, 4.848, 8.777 Å; angles 92.40, 92.40, 46.70 degrees
Positions (direct):
Cu1 0.000 0.000 0.000
Cu2 0.291 0.291 0.083
Cu3 0.408 0.408 0.828
Cu4 0.592 0.592 0.172
Cu5 0.709 0.709 0.917
Ag1 0.106 0.106 0.726
Ag2 0.195 0.195 0.383
Ag3 0.500 0.500 0.500
Ag4 0.805 0.805 0.617
Ag5 0.894 0.894 0.274

=====

Entry 2:
VASP calculation (PBE) on a geometry-optimized CuAg structure.

Computed properties:
Volume ... 148 Å³ per cell
Calculated density ... 9.6 g/cm3
Energy ... -3.1736 eV per atom

Cell lengths 7.369, 7.369, 7.592 Å; angles 105.02, 105.02, 21.79 degrees
Positions (direct):
Cu1 0.000 0.000 0.000
Cu2 0.204 0.204 0.600
Cu3 0.209 0.209 0.106
Cu4 0.791 0.791 0.894
Cu5 0.796 0.796 0.400
Ag1 0.000 0.000 0.500
Ag2 0.394 0.394 0.710
Ag3 0.395 0.395 0.184
Ag4 0.605 0.605 0.816
Ag5 0.606 0.606 0.290

=====

Entry 3:
VASP calculation (PBE) on a geometry-optimized Cu3Ag7 structure.

Computed properties:
Volume ... 161 Å³ per cell
Calculated density ... 9.7 g/cm3
Energy ... -3.0114 eV per atom
ΔE to the lowest computed polymorph ... 52 meV/atom

Cell lengths 7.502, 7.502, 5.691 Å; angles 101.35, 101.35, 30.99 degrees
Positions (direct):
Cu1 0.000 0.000 0.000
Cu2 0.203 0.203 0.596
Cu3 0.797 0.797 0.404
Ag1 0.000 0.000 0.500
Ag2 0.202 0.202 0.109
Ag3 0.396 0.396 0.693
Ag4 0.401 0.401 0.195
Ag5 0.599 0.599 0.805
Ag6 0.604 0.604 0.307
Ag7 0.798 0.798 0.891

=====

Entry 4:
VASP calculation (PBE) on a geometry-optimized Cu5Ag3 structure.

Computed properties:
Volume ... 113 Å³ per cell
Calculated density ... 9.4 g/cm3
Energy ... -3.2910 eV per atom
ΔE to the lowest computed polymorph ... 44 meV/atom

Cell lengths 2.767, 6.620, 6.620 Å; angles 110.93, 90.00, 90.00 degrees
Positions (direct):
Cu1 0.000 0.000 0.000
Cu2 0.000 0.233 0.731
Cu3 0.000 0.731 0.233
Cu4 0.500 0.084 0.341
Cu5 0.500 0.341 0.084
Ag1 0.000 0.455 0.455
Ag2 0.500 0.611 0.868
Ag3 0.500 0.868 0.611

=====

Number 1: ΔH_f (0 K) 76 meV per atom. Number 2: ΔH_f (0 K) 97 meV per atom. Number 3: ΔH_f (0 K) 81 meV per atom. Number 4: ΔH_f (0 K) 91 meV per atom.